No. 1
This record from Alexandria via LeMat-Bulk describes a geometry-optimized LiZr2Cl structure. The functional is PBE-GGA.

Geometry as extended XYZ:
```
4
Lattice="3.194 0.000 0.000 0.000 3.194 0.000 0.000 0.000 7.424" Properties=species:S:1:pos:R:3 pbc="T T T"
Li 0.000 0.000 0.000
Zr 1.597 1.597 1.697
Zr 1.597 1.597 5.727
Cl 0.000 0.000 3.712
```

Summary:
* formation energy from raw total energies: -28 meV per atom
* V: 76 Å³ per cell
* total magnetization: 0.00 μB per atom
* DOS(E_F): 0.818 states/eV/atom
* SG: No. 123



No. 2
This record from Alexandria via LeMat-Bulk describes a geometry-optimized Hf5NbC5 structure. The functional is PBE-GGA.

Geometry as extended XYZ:
```
11
Lattice="5.148 -2.308 0.000 5.148 2.308 0.000 -2.075 0.000 6.208" Properties=species:S:1:pos:R:3 pbc="T T T"
Hf 0.000 0.000 0.000
Hf 2.993 0.000 1.062
Hf 2.038 0.000 4.068
Hf 6.183 0.000 2.139
Hf 5.229 0.000 5.146
Nb -1.038 0.000 3.104
C -0.026 0.000 5.171
C 1.025 0.000 2.072
C 4.111 0.000 3.104
C 7.196 0.000 4.136
C 8.247 0.000 1.037
```

Summary:
* V: 148 Å³ per cell
* total magnetization: 0.00 μB per atom
* energy of formation from the pure elements: -0.802 eV per atom
* DOS(E_F): 0.247 states/eV/atom
* SG: No. 12



No. 3
This record from Alexandria via LeMat-Bulk describes a geometry-optimized Bi3SbSe6 structure. The functional is PBE-GGA.

Geometry as extended XYZ:
```
20
Lattice="12.314 0.000 0.000 0.000 4.150 0.000 -3.848 0.000 12.019" Properties=species:S:1:pos:R:3 pbc="T T T"
Bi -0.717 1.038 4.037
Bi 2.606 3.113 5.239
Bi 1.987 1.038 10.248
Bi 6.480 3.113 1.771
Bi 5.860 1.038 6.780
Bi 9.183 3.113 7.982
Sb -1.447 3.113 11.643
Sb 9.913 1.038 0.377
Se -2.967 1.038 10.608
Se -0.324 3.113 5.896
Se 1.918 1.038 3.232
Se 0.067 3.113 9.468
Se 4.535 1.038 0.761
Se 2.992 1.038 7.324
Se 5.474 3.113 4.695
Se 3.931 3.113 11.258
Se 8.400 1.038 2.551
Se 6.549 3.113 8.787
Se 8.790 1.038 6.123
Se 11.433 3.113 1.411
```

Summary:
* formation energy from raw total energies: -339 meV per atom
* V: 614 Å³ per cell
* total magnetization: 0.00 μB per atom
* SG: No. 11



No. 4
This record from Alexandria via LeMat-Bulk describes a geometry-optimized SbTeI2Cl structure. The functional is PBE-GGA.

Geometry as extended XYZ:
```
5
Lattice="5.518 0.000 0.000 0.000 5.518 0.000 0.000 0.000 5.847" Properties=species:S:1:pos:R:3 pbc="T T T"
Sb 0.000 0.000 0.000
Te 2.759 2.759 0.000
I 0.000 2.759 2.923
I 2.759 0.000 2.923
Cl 0.000 0.000 2.923
```

Summary:
* formation energy from raw total energies: 677 meV per atom
* V: 178 Å³ per cell
* total magnetization: 0.11 μB per atom
* DOS(E_F): 0.738 states/eV/atom
* SG: No. 123



No. 5
This record from Alexandria via LeMat-Bulk describes a geometry-optimized Pm2Sm3Dy4 structure. The functional is PBE-GGA.

Geometry as extended XYZ:
```
9
Lattice="6.224 0.000 0.000 1.028 6.140 0.000 1.051 1.921 7.733" Properties=species:S:1:pos:R:3 pbc="T T T"
Pm 1.562 2.363 1.289
Pm 6.742 5.698 6.444
Sm 3.638 4.109 5.584
Sm 3.638 0.961 3.866
Sm 4.665 3.952 2.149
Dy 1.545 5.522 3.006
Dy 3.625 7.279 7.308
Dy 4.678 0.783 0.425
Dy 6.759 2.540 4.727
```

Summary:
* V: 296 Å³ per cell
* total magnetization: 0.00 μB per atom
* energy of formation from the pure elements: 0.017 eV per atom
* DOS(E_F): 1.488 states/eV/atom
* SG: No. 2



No. 6
This record from Alexandria via LeMat-Bulk describes a geometry-optimized Y5Ho4Cd structure. The functional is PBE-GGA.

Geometry as extended XYZ:
```
10
Lattice="3.560 0.000 0.000 0.000 3.560 0.000 0.000 0.000 24.203" Properties=species:S:1:pos:R:3 pbc="T T T"
Y 0.000 0.000 0.000
Y 0.000 0.000 5.016
Y 0.000 0.000 10.016
Y 0.000 0.000 14.188
Y 0.000 0.000 19.187
Ho 1.780 1.780 2.504
Ho 1.780 1.780 7.511
Ho 1.780 1.780 16.692
Ho 1.780 1.780 21.699
Cd 1.780 1.780 12.102
```

Summary:
* V: 307 Å³ per cell
* total magnetization: 0.00 μB per atom
* energy of formation from the pure elements: -0.047 eV per atom
* DOS(E_F): 1.400 states/eV/atom
* SG: No. 123



No. 7
This record from Alexandria via LeMat-Bulk describes a geometry-optimized Ta3BeRu structure. The functional is PBE-GGA.

Geometry as extended XYZ:
```
5
Lattice="4.764 0.000 0.000 0.000 4.764 0.000 0.000 0.000 4.764" Properties=species:S:1:pos:R:3 pbc="T T T"
Ta 0.000 0.000 2.382
Ta 0.000 2.382 0.000
Ta 2.382 0.000 0.000
Be 2.382 2.382 2.382
Ru 0.000 0.000 0.000
```

Summary:
* V: 108 Å³ per cell
* total magnetization: 0.00 μB per atom
* energy of formation from the pure elements: 1.397 eV per atom
* DOS(E_F): 0.740 states/eV/atom
* SG: No. 221



No. 8
This record from Alexandria via LeMat-Bulk describes a geometry-optimized BeSbSN2 structure. The functional is PBE-GGA.

Geometry as extended XYZ:
```
5
Lattice="3.878 0.000 0.000 0.000 3.878 0.000 0.000 0.000 5.576" Properties=species:S:1:pos:R:3 pbc="T T T"
Be 0.000 0.000 0.000
Sb 1.939 1.939 2.788
S 1.939 1.939 0.000
N 0.000 1.939 2.788
N 1.939 0.000 2.788
```

Summary:
* formation energy from raw total energies: 1443 meV per atom
* V: 84 Å³ per cell
* total magnetization: 0.12 μB per atom
* DOS(E_F): 0.352 states/eV/atom
* SG: No. 123